Record 1
DFT (GGA-PBE) results for a relaxed structure of AlTe2P.

Structure (POSCAR):
```
AlTe2P
1.0
4.3320 0.0108 0.0000
-2.5858 3.4756 0.0000
0.0000 0.0000 7.6947
Al Te P
1 2 1
Direct
0.5000 0.5000 0.2500
0.0000 0.0000 0.5042
0.0000 0.0000 0.9958
0.5000 0.5000 0.7500
```

Results
As for the space group: Cmmm. The formation energy without anion corrections comes out at 0.35 eV/atom. As for the crystal system: orthorhombic. The value obtained for the polymorph energy (0 for the lowest one) is 481.4 meV/atom. As for the spin magnetization: 0.0 μB/cell. As for the density of states at the Fermi level: 2.4 states/eV/f.u. Its density is 4.48 g cm⁻³. Its calculated total energy is -3.508 eV/atom.

Record 2
DFT (GGA-PBE) results for a relaxed structure of AlTeP2.

Structure (POSCAR):
```
AlTeP2
1.0
-3.2114 -1.8964 2.8432
-2.8074 2.7661 2.5417
-4.5564 0.3261 -1.0612
P Al Te
2 1 1
Direct
0.2500 0.2500 0.2500
0.7500 0.7500 0.7500
0.0000 0.0000 0.0000
0.5000 0.5000 0.5000
```

Results
As for the space group: Fm-3m. The formation energy without anion corrections comes out at 0.51 eV/atom. As for the crystal system: cubic. The value obtained for the polymorph energy (0 for the lowest one) is 516.5 meV/atom. As for the spin magnetization: 0.0 μB/cell. As for the density of states at the Fermi level: 2.1 states/eV/f.u. Its density is 4.93 g cm⁻³. Its calculated total energy is -3.912 eV/atom.

Record 3
DFT (GGA-PBE) results for a relaxed structure of AlTe2P.

Structure (POSCAR):
```
AlTe2P
1.0
5.5676 0.0000 0.0000
0.0000 5.5676 0.0000
2.7838 2.7838 7.7569
P Te Al
2 4 2
Direct
0.0000 0.0000 0.0000
0.7500 0.2500 0.5000
0.1133 0.6250 0.2500
0.8750 0.8867 0.7500
0.3750 0.3633 0.7500
0.6367 0.1250 0.2500
0.2500 0.7500 0.5000
0.5000 0.5000 0.0000
```

Results
As for the space group: I-42d. The formation energy without anion corrections comes out at 0.28 eV/atom. As for the crystal system: tetragonal. The value obtained for the polymorph energy (0 for the lowest one) is 407.2 meV/atom. As for the spin magnetization: 0.0 μB/cell. As for the density of states at the Fermi level: 1.0 states/eV/f.u. Its density is 4.33 g cm⁻³. Its calculated total energy is -3.582 eV/atom.

Record 4
DFT (GGA-PBE) results for a relaxed structure of AlTe2P.

Structure (POSCAR):
```
AlTe2P
1.0
-1.0477 -4.1579 -2.5717
1.2379 -4.4712 1.8642
-3.5664 -3.1083 1.6180
Te P Al
2 1 1
Direct
0.2500 0.2500 0.2500
0.7500 0.7500 0.7500
0.5000 0.5000 0.5000
0.0000 0.0000 0.0000
```

Results
As for the space group: Fm-3m. The formation energy without anion corrections comes out at 0.46 eV/atom. As for the crystal system: cubic. The value obtained for the polymorph energy (0 for the lowest one) is 585.3 meV/atom. As for the spin magnetization: 0.0 μB/cell. As for the density of states at the Fermi level: 3.5 states/eV/f.u. Its density is 5.88 g cm⁻³. Its calculated total energy is -3.404 eV/atom.

Record 5
DFT (GGA-PBE) results for a relaxed structure of AlTe2P.

Structure (POSCAR):
```
AlTe2P
1.0
4.0288 0.0000 0.0000
0.0000 4.0294 0.0000
0.0000 0.0000 5.9254
P Te Al
1 2 1
Direct
0.5000 0.5000 0.8744
0.0000 0.0000 0.8748
0.5000 0.5000 0.3739
0.0000 0.0000 0.3770
```

Results
As for the space group: P4mm. The formation energy without anion corrections comes out at 0.05 eV/atom. As for the crystal system: tetragonal. The value obtained for the polymorph energy (0 for the lowest one) is 177.1 meV/atom. As for the spin magnetization: 0.0 μB/cell. As for the density of states at the Fermi level: 1.6 states/eV/f.u. Its density is 5.41 g cm⁻³. Its calculated total energy is -3.812 eV/atom.

Record 6
DFT (GGA-PBE) results for a relaxed structure of AlTeP2.

Structure (POSCAR):
```
AlTeP2
1.0
-1.7430 -2.3631 1.5021
-1.8388 -1.2902 -4.1636
3.5707 -3.0378 -0.6356
P Te Al
2 1 1
Direct
0.0000 0.0000 0.0000
0.0000 0.5000 0.5000
0.5000 0.5000 0.0000
0.5000 0.0000 0.5000
```

Results
As for the space group: P4/mmm. The formation energy without anion corrections comes out at 0.48 eV/atom. As for the crystal system: tetragonal. The value obtained for the polymorph energy (0 for the lowest one) is 486.2 meV/atom. As for the spin magnetization: 0.0 μB/cell. As for the density of states at the Fermi level: 2.3 states/eV/f.u. Its density is 4.87 g cm⁻³. Its calculated total energy is -3.942 eV/atom.

Record 7
DFT (GGA-PBE) results for a relaxed structure of AlTe2P.

Structure (POSCAR):
```
AlTe2P
1.0
4.4276 -5.8949 5.7684
5.1205 -7.4664 2.3793
7.2933 -4.6113 3.6293
P Te Al
1 2 1
Direct
0.5000 0.5000 0.5000
0.8947 0.8947 0.8947
0.1053 0.1053 0.1053
0.0000 0.0000 0.0000
```

Results
As for the space group: R-3m. The formation energy without anion corrections comes out at 0.40 eV/atom. As for the crystal system: trigonal. The value obtained for the polymorph energy (0 for the lowest one) is 531.0 meV/atom. As for the spin magnetization: 0.0 μB/cell. As for the density of states at the Fermi level: 2.1 states/eV/f.u. Its density is 4.57 g cm⁻³. Its calculated total energy is -3.458 eV/atom.

Record 8
DFT (GGA-PBE) results for a relaxed structure of AlTeP2.

Structure (POSCAR):
```
AlTeP2
1.0
-4.8137 -2.3527 -1.3911
1.9992 -4.9520 1.4572
-3.6154 -2.7463 6.1413
P Al Te
4 2 2
Direct
0.5764 0.1250 0.2500
0.8750 0.8264 0.7500
0.3750 0.4236 0.7500
0.1736 0.6250 0.2500
0.2500 0.7500 0.5000
0.5000 0.5000 0.0000
0.7500 0.2500 0.5000
0.0000 0.0000 0.0000
```

Results
As for the space group: I-42d. The formation energy without anion corrections comes out at 0.21 eV/atom. As for the crystal system: tetragonal. The value obtained for the polymorph energy (0 for the lowest one) is 208.3 meV/atom. As for the spin magnetization: 0.0 μB/cell. As for the density of states at the Fermi level: 1.3 states/eV/f.u. Its density is 3.58 g cm⁻³. Its calculated total energy is -4.220 eV/atom.

Record 9
DFT (GGA-PBE) results for a relaxed structure of AlTeP2.

Structure (POSCAR):
```
AlTeP2
1.0
-3.3168 -1.6925 -0.4697
0.5716 0.0855 -4.3442
2.4601 -4.5017 -1.1509
Te P Al
1 2 1
Direct
0.5000 0.2500 0.2500
0.0000 0.4657 0.5861
0.0000 0.0343 0.9139
0.5000 0.7500 0.7500
```

Results
As for the space group: P2/m. The formation energy without anion corrections comes out at 0.00 eV/atom. As for the crystal system: monoclinic. The value obtained for the polymorph energy (0 for the lowest one) is 0.0 meV/atom. As for the spin magnetization: 0.0 μB/cell. As for the density of states at the Fermi level: 1.1 states/eV/f.u. Its density is 4.31 g cm⁻³. Its calculated total energy is -4.428 eV/atom.

Record 10
DFT (GGA-PBE) results for a relaxed structure of AlTe2P2.

Structure (POSCAR):
```
AlTe2P2
1.0
-3.7868 5.4779 4.8335
-7.1130 -1.5231 -3.8465
-0.7400 -2.6422 2.4147
P Te Al
4 4 2
Direct
0.3335 0.1665 0.5000
0.6665 0.8335 0.5000
0.1665 0.6665 0.5000
0.8335 0.3335 0.5000
0.1812 0.3188 0.0000
0.8188 0.6812 0.0000
0.6812 0.1812 0.0000
0.3188 0.8188 0.0000
0.5000 0.5000 0.0000
0.0000 0.0000 0.0000
```

Results
As for the space group: P4/mbm. The formation energy without anion corrections comes out at 0.43 eV/atom. As for the crystal system: tetragonal. The value obtained for the polymorph energy (0 for the lowest one) is 91.9 meV/atom. As for the spin magnetization: 0.0 μB/cell. As for the density of states at the Fermi level: 2.1 states/eV/f.u. Its density is 4.62 g cm⁻³. Its calculated total energy is -3.744 eV/atom.

Record 11
DFT (GGA-PBE) results for a relaxed structure of AlTe2P.

Structure (POSCAR):
```
AlTe2P
1.0
3.4244 0.0000 0.0000
0.0000 3.4244 0.0000
0.0000 0.0000 8.8863
P Al Te
1 1 2
Direct
0.5000 0.5000 0.5873
0.0000 0.0000 0.6518
0.5000 0.5000 0.3109
0.0000 0.0000 0.9500
```

Results
As for the space group: P4mm. The formation energy without anion corrections comes out at -0.13 eV/atom. As for the crystal system: tetragonal. The value obtained for the polymorph energy (0 for the lowest one) is 0.0 meV/atom. As for the spin magnetization: 0.0 μB/cell. As for the density of states at the Fermi level: 1.0 states/eV/f.u. Its density is 4.99 g cm⁻³. Its calculated total energy is -3.989 eV/atom.

Record 12
DFT (GGA-PBE) results for a relaxed structure of AlTe2P.

Structure (POSCAR):
```
AlTe2P
1.0
-1.2115 0.0009 -3.1879
-0.4504 -3.0378 1.4831
-8.0821 2.6981 3.0721
Te P Al
2 1 1
Direct
0.5000 0.5000 0.3207
0.0000 0.0000 0.9317
0.5000 0.5000 0.7039
0.0000 0.0000 0.5437
```

Results
As for the space group: Cmm2. The formation energy without anion corrections comes out at 0.23 eV/atom. As for the crystal system: orthorhombic. The value obtained for the polymorph energy (0 for the lowest one) is 365.2 meV/atom. As for the spin magnetization: 0.0 μB/cell. As for the density of states at the Fermi level: 1.8 states/eV/f.u. Its density is 5.29 g cm⁻³. Its calculated total energy is -3.624 eV/atom.